[1]
{
  "formula": "TiCu2Rh",
  "functional": "GGA-PBE",
  "state": "relaxed",
  "space_group": "Fm-3m (225)",
  "lattice_angstrom": [[0.0000, 3.0091, 3.0091], [3.0091, 0.0000, 3.0091], [3.0091, 3.0091, 0.0000]],
  "species": ["Ti", "Cu", "Cu", "Rh"],
  "fractional_positions": [[0.0000, 0.0000, 0.0000], [0.2500, 0.2500, 0.2500], [0.7500, 0.7500, 0.7500], [0.5000, 0.5000, 0.5000]]
}

[2]
{
  "formula": "Ti2Cu2Rh",
  "functional": "GGA-PBE",
  "state": "relaxed",
  "space_group": "P4/mbm (127)",
  "e_above_lowest_polymorph_mev_per_atom": 68,
  "lattice_angstrom": [[6.7688, 0.0000, 0.0000], [0.0000, 6.7688, 0.0000], [0.0000, 0.0000, 3.1192]],
  "species": ["Ti", "Ti", "Ti", "Ti", "Cu", "Cu", "Cu", "Cu", "Rh", "Rh"],
  "fractional_positions": [[0.1778, 0.3222, 0.0000], [0.3222, 0.8222, 0.0000], [0.6778, 0.1778, 0.0000], [0.8222, 0.6778, 0.0000], [0.1240, 0.6240, 0.5000], [0.3760, 0.1240, 0.5000], [0.6240, 0.8760, 0.5000], [0.8760, 0.3760, 0.5000], [0.0000, 0.0000, 0.5000], [0.5000, 0.5000, 0.5000]]
}

[3]
{
  "formula": "TiCu2Rh",
  "functional": "GGA-PBE",
  "state": "relaxed",
  "space_group": "Fmmm (69)",
  "lattice_angstrom": [[0.0000, 2.5714, 4.1027], [2.5405, 0.0000, 4.1027], [2.5405, 2.5714, 0.0000]],
  "species": ["Ti", "Cu", "Cu", "Rh"],
  "fractional_positions": [[0.0000, 0.0000, 0.0000], [0.2500, 0.2500, 0.2500], [0.7500, 0.7500, 0.7500], [0.5000, 0.5000, 0.5000]]
}

It is found that the formation enthalpy at 0 K values, taken in the order of the records, are -0.61; -1.09; -1.55 eV/f.u..